Here is a geometry-optimized KMnFeAs2 structure from the Alexandria database. Energies are from GGA-PBE.

Results
DOS(E_F) = 2.6 states/eV per cell
E_tot = -5.92 eV/atom
calculated volume = 20.2 Å³/atom

Cell lengths 3.7579, 3.7579, 7.6268 Å; angles 104.26, 104.26, 90.00 degrees
Closest atoms and distances in Å follow each position.
Positions (direct):
K 0.0000 0.0000 0.0000  8 As 3.40, 4 K 3.76
Mn 0.2500 0.7500 0.5000  4 As 2.38, 4 Fe 2.66
Fe 0.7500 0.2500 0.5000  4 As 2.38, 4 Mn 2.66
As 0.6480 0.6480 0.2960  2 Mn 2.38, 2 Fe 2.38
As 0.3520 0.3520 0.7040  2 Mn 2.38, 2 Fe 2.38